A plane-wave DFT calculation with PBE was carried out for a relaxed K2Te3Pb2 crystal.

The structure belongs to space group C2/c (No. 15); the cell edges are 17.459, 17.209 and 9.672 Å and the angles 90.00°, 123.14° and 90.00°. The distinct sites, in fractional coordinates, are K at (0.000, 0.070, 0.250), K at (0.000, 0.229, 0.750), K at (0.121, 0.421, 0.078), Te at (0.118, 0.393, 0.715), Te at (0.126, 0.229, 0.215), Te at (0.139, 0.077, 0.705), Pb at (0.164, 0.246, 0.581) and Pb at (0.179, 0.082, 0.081).

The value obtained for the size of the total moment is 0.00 μB/cell. The polymorph energy (0 for the lowest one) comes out at 0.0 meV/atom. For the uncorrected formation energy, the calculation gives -0.65 eV/atom.